Entry 1:
! AlAg4Au5 (PBE, relaxed); values from VASP
! Volume, Å³/cell: 176.8
! Relative energy among the computed polymorphs, kcal/mol of atoms: 0.00
&SYSTEM
  ibrav = 0, nat = 10, ntyp = 3
/
ATOMIC_SPECIES
Al 26.98 Al.upf
Ag 107.87 Ag.upf
Au 196.97 Au.upf
CELL_PARAMETERS angstrom
3.0733 0.0000 0.0000
0.0000 3.0733 0.0000
0.0000 0.0000 18.7235
ATOMIC_POSITIONS crystal
Al 0.0000 0.0000 0.0000
Ag 0.0000 0.0000 0.1932
Ag 0.0000 0.0000 0.3979
Ag 0.0000 0.0000 0.6021
Ag 0.0000 0.0000 0.8068
Au 0.5000 0.5000 0.0855
Au 0.5000 0.5000 0.2953
Au 0.5000 0.5000 0.5000
Au 0.5000 0.5000 0.7047
Au 0.5000 0.5000 0.9145

Entry 2:
! TcGeF2 (PBE, relaxed); values from VASP
! Volume, Å³/cell: 52.1
! Relative energy among the computed polymorphs, kcal/mol of atoms: 6.33
! Energy relative to the elements, uncorrected, eV/f.u.: -2.644
&SYSTEM
  ibrav = 0, nat = 4, ntyp = 3
/
ATOMIC_SPECIES
Tc 98.00 Tc.upf
Ge 72.64 Ge.upf
F 19.00 F.upf
CELL_PARAMETERS angstrom
1.3614 0.7860 8.1124
-1.3614 0.7860 8.1124
0.0000 -1.5721 8.1124
ATOMIC_POSITIONS crystal
Tc 0.0000 0.0000 0.0000
Ge 0.5000 0.5000 0.5000
F 0.4143 0.4143 0.4143
F 0.5857 0.5857 0.5857

Entry 3:
! CaErHgGe (PBE, relaxed); values from VASP
! Calculated total energy, eV per atom: -3.404
! Volume, Å³/cell: 98.3
&SYSTEM
  ibrav = 0, nat = 4, ntyp = 4
/
ATOMIC_SPECIES
Ca 40.08 Ca.upf
Er 167.26 Er.upf
Hg 200.59 Hg.upf
Ge 72.64 Ge.upf
CELL_PARAMETERS angstrom
0.0000 3.6626 3.6626
3.6626 0.0000 3.6626
3.6626 3.6626 0.0000
ATOMIC_POSITIONS crystal
Ca 0.0000 0.0000 0.0000
Er 0.5000 0.5000 0.5000
Hg 0.2500 0.2500 0.2500
Ge 0.7500 0.7500 0.7500